## ScCd2Sb (GGA-PBE)

Data for a relaxed ScCd2Sb crystal.

abc: 3.9197 3.9197 6.2434
angles: 90.00 90.00 90.00
Space group P4mm (No. 99)
Asymmetric unit:
Sc 0.0000 0.0000 0.0000 [1 per cell]
Cd 0.0000 0.0000 0.4999 [1 per cell]
Cd 0.5000 0.5000 0.2969 [1 per cell]
Sb 0.5000 0.5000 0.8154 [1 per cell]

Summary:
Crystal system   tetragonal
Raw formation energy   -276 meV per atom


## NdErAg2 (GGA-PBE)

Data for a relaxed NdErAg2 crystal.

abc: 7.3755 7.3755 7.3755
angles: 90.00 90.00 90.00
Space group Fm-3m (No. 225)
Asymmetric unit:
Nd 0.0000 0.0000 0.0000 [4 per cell]
Er 0.0000 0.0000 0.5000 [4 per cell]
Ag 0.2500 0.2500 0.2500 [8 per cell]

Summary:
Energy above the most stable polymorph in this dataset   0.0203 eV/atom
Crystal system   cubic


## SmSc2Ti (GGA-PBE)

Data for a relaxed SmSc2Ti crystal.

abc: 3.2697 3.2697 31.6302
angles: 90.00 90.00 120.00
Space group R3m (No. 160, hexagonal axes)
Asymmetric unit:
Sm 0.0000 0.0000 0.0000 [3 per cell]
Sc 0.0000 0.0000 0.2419 [3 per cell]
Sc 0.0000 0.0000 0.4266 [3 per cell]
Ti 0.0000 0.0000 0.8347 [3 per cell]

Summary:
Energy above the most stable polymorph in this dataset   0.0126 eV/atom
Crystal system   trigonal


## Co2CuPd8 (GGA-PBE)

Data for a relaxed Co2CuPd8 crystal.

abc: 2.7528 7.2919 8.7877
angles: 73.88 81.01 89.99
Space group P1 (No. 1)
Asymmetric unit:
Co 0.0000 0.0000 0.0000 [1 per cell]
Co 0.3735 0.4150 0.2526 [1 per cell]
Cu 0.6316 0.5939 0.7432 [1 per cell]
Pd 0.1405 0.9093 0.7198 [1 per cell]
Pd 0.2356 0.4829 0.5307 [1 per cell]
Pd 0.3843 0.0618 0.2315 [1 per cell]
Pd 0.5005 0.7054 0.9993 [1 per cell]
Pd 0.6115 0.2228 0.7768 [1 per cell]
Pd 0.7652 0.1681 0.4699 [1 per cell]
Pd 0.8615 0.7170 0.2766 [1 per cell]
Pd 0.9959 0.3623 0.0085 [1 per cell]

Summary:
Crystal system   triclinic


Number 1: VASP energy -3.35 eV per atom, size of the total moment 0.00 μB/cell. Number 2: VASP energy -4.04 eV per atom, size of the total moment 0.00 μB/cell. Number 3: VASP energy -6.16 eV per atom, size of the total moment 0.00 μB/cell. Number 4: VASP energy -5.37 eV per atom, size of the total moment 6.65 μB/cell.